No. 1
Crystalline Mn2AlBr at its relaxed geometry. Source: Alexandria via LeMat-Bulk, functional PBE.

Polymorph energy (0 for the lowest one) in meV/atom: 89.4
Theoretical density in g cm⁻³: 4.8
Raw formation energy in eV/atom: 0.2044
Calculated volume in A^3/atom: 18.61

abc: 8.1216 8.1216 8.1216
angles: 23.44 23.44 23.44
Last column: magnetic moment on the atom in μB.
Sites, in units of the cell vectors:
Mn: 0.9964 0.9964 0.9964  3.87
Mn: 0.5036 0.5036 0.5036  3.87
Al: 0.2500 0.2500 0.2500  -0.04
Br: 0.7500 0.7500 0.7500  0.10

=====

No. 2
Crystalline Mn2AlBr at its relaxed geometry. Source: Alexandria via LeMat-Bulk, functional PBE.

Polymorph energy (0 for the lowest one) in meV/atom: 118.8
Theoretical density in g cm⁻³: 5.3
Raw formation energy in eV/atom: 0.2338
Calculated volume in A^3/atom: 16.97

abc: 3.0591 3.0591 7.2538
angles: 90.00 90.00 90.00
Last column: magnetic moment on the atom in μB.
Sites, in units of the cell vectors:
Mn: 0.0000 0.0000 0.0281  3.39
Mn: 0.0000 0.0000 0.4719  3.39
Br: 0.5000 0.5000 0.7500  0.06
Al: 0.5000 0.5000 0.2500  -0.10

=====

No. 3
Crystalline MnAlBr at its relaxed geometry. Source: Alexandria via LeMat-Bulk, functional PBE.

Polymorph energy (0 for the lowest one) in meV/atom: 310.8
Theoretical density in g cm⁻³: 4.8
Raw formation energy in eV/atom: 0.3831
Calculated volume in A^3/atom: 18.67

abc: 4.4833 4.4833 3.2181
angles: 90.00 90.00 120.00
Last column: magnetic moment on the atom in μB.
Sites, in units of the cell vectors:
Br: 0.6667 0.3333 0.4998  -0.01
Mn: 0.3333 0.6667 0.4998  3.36
Al: 0.0000 0.0000 0.0002  -0.06

=====

No. 4
Crystalline Mn2AlBr at its relaxed geometry. Source: Alexandria via LeMat-Bulk, functional PBE.

Polymorph energy (0 for the lowest one) in meV/atom: 24.3
Theoretical density in g cm⁻³: 4.7
Raw formation energy in eV/atom: 0.1393
Calculated volume in A^3/atom: 19.02

abc: 3.1422 3.1422 7.7060
angles: 90.00 90.00 90.00
Last column: magnetic moment on the atom in μB.
Sites, in units of the cell vectors:
Br: 0.5000 0.5000 0.8322  0.07
Mn: 0.0000 0.0000 0.0347  3.35
Mn: 0.5000 0.5000 0.2285  -3.21
Al: 0.0000 0.0000 0.4046  0.01

=====

No. 5
Crystalline Mn2AlBr at its relaxed geometry. Source: Alexandria via LeMat-Bulk, functional PBE.

Polymorph energy (0 for the lowest one) in meV/atom: 262.7
Theoretical density in g cm⁻³: 5.1
Raw formation energy in eV/atom: 0.3777
Calculated volume in A^3/atom: 17.72

abc: 5.3035 5.3035 5.3035
angles: 146.25 119.69 70.93
Last column: magnetic moment on the atom in μB.
Sites, in units of the cell vectors:
Mn: 0.5025 0.5025 0.0000  3.53
Mn: 0.9975 0.9975 0.0000  3.53
Br: 0.2500 0.7500 0.5000  0.08
Al: 0.7500 0.2500 0.5000  -0.08

=====

No. 6
Crystalline Mn2AlBr at its relaxed geometry. Source: Alexandria via LeMat-Bulk, functional PBE.

Polymorph energy (0 for the lowest one) in meV/atom: 450.6
Theoretical density in g cm⁻³: 5.5
Raw formation energy in eV/atom: 0.5656
Calculated volume in A^3/atom: 16.23

abc: 4.5113 4.5113 4.5113
angles: 60.00 60.00 60.00
Last column: magnetic moment on the atom in μB.
Sites, in units of the cell vectors:
Mn: 0.7500 0.7500 0.7500  3.12
Mn: 0.2500 0.2500 0.2500  3.12
Al: 0.0000 0.0000 0.0000  -0.14
Br: 0.5000 0.5000 0.5000  -0.04

=====

no.,uncorrected energy (eV per atom)
1,-5.73
2,-5.70
3,-4.48
4,-5.80
5,-5.56
6,-5.37